Na2PaCuO4 | PBE-GGA | relaxed

Geometry as extended XYZ:
```
8
Lattice="5.361 -0.033 -0.050 -2.314 4.837 0.050 -2.314 -1.901 4.448" Properties=species:S:1:pos:R:3 pbc="T T T"
Na 0.367 3.136 1.124
Na 0.000 0.000 0.000
Pa 0.367 -0.233 3.323
Cu -2.314 1.468 2.249
O 1.101 0.931 1.736
O -1.684 -0.387 2.897
O 3.420 2.654 0.576
O -1.370 2.609 3.686
```

Crystal system: tetragonal
Electronic total energy: -6.54 eV/atom
Total moment: 0.0 μB/f.u.